Crystalline PuCdIn2 at its relaxed geometry, computed with PBE.

Lattice parameters (Å, degrees): 3.3331 3.3331 10.7102 81.05 81.05 60.00
Last column: magnetic moment on the atom in μB.
Element x y z (fractional)
Cd (0.6665, 0.6665, 0.0006)  0.00
In (0.2537, 0.2537, 0.2388)  -0.01
In (0.0794, 0.0794, 0.7618)  -0.01
Pu (0.5004, 0.5004, 0.4988)  5.57

**Density of states at the Fermi level**: 7.97 states/eV per cell
**Energy above the lowest structure with this stoichiometry**: 131.0 meV per atom
**Symmetry**: No. 160
**E_tot**: -20.8 eV/cell
**Crystal system**: trigonal
**Formation energy**: -9 meV per atom